6
Lattice="6.903 0.000 0.000 0.000 6.903 0.000 0.000 0.000 3.117" Properties=species:S:1:pos:R:3 comment="SCAN Tl2Rh, PBEsol geometry" magmom_total_mub_per_cell=0.000 ef_mev_per_atom=64 e_tot_ev_per_atom=-59.432 pbc="T T T"
Tl 1.573 1.573 0.000
Tl 1.878 5.024 1.558
Tl 5.024 1.878 1.558
Tl 5.330 5.330 0.000
Rh 0.000 0.000 1.558
Rh 3.451 3.451 0.000